<one>
# PBE AgBrCl2, optimized geometry
# * D(E_F): 3.6 states/eV/cell
# * total moment: 0.001 μB per atom
data_AgBrCl2
_space_group_name_H-M_alt 'C m m m'
_space_group_IT_number 65
_space_group_name_Hall '-C 2 2'
_cell_length_a 3.648
_cell_length_b 8.350
_cell_length_c 8.139
_cell_angle_alpha 90.00
_cell_angle_beta 90.00
_cell_angle_gamma 90.00
loop_
_atom_site_label
_atom_site_type_symbol
_atom_site_fract_x
_atom_site_fract_y
_atom_site_fract_z
Ag1 Ag 0.000 0.000 0.000
Br1 Br 0.000 0.000 0.500
Cl1 Cl 0.000 0.500 0.204



<two>
# PBE AgBrCl2, optimized geometry
# * D(E_F): 11.6 states/eV/cell
# * total moment: 0.500 μB per atom
data_AgBrCl2
_space_group_name_H-M_alt 'F m -3 m'
_space_group_IT_number 225
_space_group_name_Hall '-F 4 2 3'
_cell_length_a 7.182
_cell_length_b 7.182
_cell_length_c 7.182
_cell_angle_alpha 90.00
_cell_angle_beta 90.00
_cell_angle_gamma 90.00
loop_
_atom_site_label
_atom_site_type_symbol
_atom_site_fract_x
_atom_site_fract_y
_atom_site_fract_z
Ag1 Ag 0.000 0.000 0.000
Br1 Br 0.000 0.000 0.500
Cl1 Cl 0.250 0.250 0.250



<three>
# PBE AgBrCl2, optimized geometry
# * D(E_F): 15.2 states/eV/cell
# * total moment: 0.007 μB per atom
data_AgBrCl2
_space_group_name_H-M_alt 'R -3 m'
_space_group_IT_number 166
_space_group_name_Hall '-R 3 2"'
_cell_length_a 3.1792
_cell_length_b 3.1792
_cell_length_c 37.9399
_cell_angle_alpha 90.00
_cell_angle_beta 90.00
_cell_angle_gamma 120.00
loop_
_atom_site_label
_atom_site_type_symbol
_atom_site_fract_x
_atom_site_fract_y
_atom_site_fract_z
Ag1 Ag 0.0000 0.0000 0.0000
Br1 Br 0.0000 0.0000 0.5000
Cl1 Cl 0.0000 0.0000 0.0617



Bottom line: <one>, by a margin of 195 meV/atom.